# 1
! Bi3RuBr (PBE-GGA, optimized geometry); values from VASP
! SG: Pm-3m
! Density: 8.77 g/cm³
&SYSTEM
  ibrav = 0, nat = 5, ntyp = 3
/
ATOMIC_SPECIES
Bi 208.98 Bi.upf
Ru 101.07 Ru.upf
Br 79.90 Br.upf
CELL_PARAMETERS angstrom
5.347 0.000 0.000
0.000 5.347 0.000
0.000 0.000 5.347
ATOMIC_POSITIONS angstrom
Bi 0.000 0.000 2.674
Bi 0.000 2.674 0.000
Bi 2.674 0.000 0.000
Ru 0.000 0.000 0.000
Br 2.674 2.674 2.674

# 2
! BiRu2Br (PBE-GGA, optimized geometry); values from VASP
! SG: I-42d
! Density: 9.52 g/cm³
&SYSTEM
  ibrav = 0, nat = 8, ntyp = 3
/
ATOMIC_SPECIES
Bi 208.98 Bi.upf
Ru 101.07 Ru.upf
Br 79.90 Br.upf
CELL_PARAMETERS angstrom
-2.316 2.316 7.985
2.316 -2.316 7.985
2.316 2.316 -7.985
ATOMIC_POSITIONS angstrom
Bi 0.000 0.000 0.000
Bi 0.000 2.316 3.992
Ru 1.158 -0.769 5.989
Ru 1.546 1.158 1.996
Ru 1.158 3.085 -1.996
Ru 0.769 1.158 9.981
Br 2.316 0.000 3.992
Br 0.000 0.000 7.985

# 3
! BiRu2Br (PBE-GGA, optimized geometry); values from VASP
! SG: Fm-3m
! Density: 11.12 g/cm³
&SYSTEM
  ibrav = 0, nat = 4, ntyp = 3
/
ATOMIC_SPECIES
Bi 208.98 Bi.upf
Ru 101.07 Ru.upf
Br 79.90 Br.upf
CELL_PARAMETERS angstrom
0.000 3.322 3.322
3.322 0.000 3.322
3.322 3.322 0.000
ATOMIC_POSITIONS angstrom
Bi 0.000 0.000 0.000
Ru 1.661 1.661 1.661
Ru 4.983 4.983 4.983
Br 3.322 3.322 3.322

In eV/atom, the uncorrected formation energy values for the records above are, in order, 0.33 0.73 0.81.